The following is a GGA-PBE calculation of a geometry-optimized Pm2As4IrPd3 structure, from Alexandria via LeMat-Bulk.

As for the crystal system: tetragonal. The density of states at the Fermi level is 0.3975 states/eV per atom. The calculation puts the formation enthalpy at 0 K at -763 kJ/mol of formula units.

It has space group P-4m2 (No. 115), with a = 4.357 Å, b = 4.357 Å, c = 10.152 Å, α = 90.00°, β = 90.00° and γ = 90.00°. The inequivalent atoms are Pm at (0.000, 0.500, 0.248), As at (0.000, 0.000, 0.500), As at (0.000, 0.500, 0.870), As at (0.500, 0.500, 0.500), Ir at (0.500, 0.500, 0.000), Pd at (0.000, 0.000, 0.000) and Pd at (0.000, 0.500, 0.629).

---

The following is a GGA-PBE calculation of a geometry-optimized Pr2As4Ir3Pd structure, from Alexandria via LeMat-Bulk.

As for the crystal system: tetragonal. The density of states at the Fermi level is 0.4707 states/eV per atom. The calculation puts the formation enthalpy at 0 K at -758 kJ/mol of formula units.

It has space group P-4m2 (No. 115), with a = 4.401 Å, b = 4.401 Å, c = 9.856 Å, α = 90.00°, β = 90.00° and γ = 90.00°. The inequivalent atoms are Pr at (0.000, 0.500, 0.246), As at (0.000, 0.000, 0.000), As at (0.000, 0.500, 0.636), As at (0.500, 0.500, 0.000), Ir at (0.000, 0.500, 0.885), Ir at (0.500, 0.500, 0.500) and Pd at (0.000, 0.000, 0.500).

---

The following is a GGA-PBE calculation of a geometry-optimized Pr2As4IrPd3 structure, from Alexandria via LeMat-Bulk.

As for the crystal system: tetragonal. The density of states at the Fermi level is 0.4523 states/eV per atom. The calculation puts the formation enthalpy at 0 K at -779 kJ/mol of formula units.

It has space group P-4m2 (No. 115), with a = 4.399 Å, b = 4.399 Å, c = 10.104 Å, α = 90.00°, β = 90.00° and γ = 90.00°. The inequivalent atoms are Pr at (0.000, 0.500, 0.250), As at (0.000, 0.000, 0.000), As at (0.000, 0.500, 0.630), As at (0.500, 0.500, 0.000), Ir at (0.000, 0.000, 0.500), Pd at (0.000, 0.500, 0.874) and Pd at (0.500, 0.500, 0.500).

---

The following is a GGA-PBE calculation of a geometry-optimized AsIrPd2S structure, from Alexandria via LeMat-Bulk.

As for the crystal system: tetragonal. The total energy comes out at -4.64 eV/atom. The density of states at the Fermi level is 1.4933 states/eV per atom.

It has space group P4/mmm (No. 123), with a = 4.994 Å, b = 4.994 Å, c = 4.510 Å, α = 90.00°, β = 90.00° and γ = 90.00°. The inequivalent atoms are As at (0.000, 0.000, 0.000), Ir at (0.000, 0.000, 0.500), Pd at (0.000, 0.500, 0.500) and S at (0.500, 0.500, 0.000).

---

The following is a GGA-PBE calculation of a geometry-optimized As2IrPdSe structure, from Alexandria via LeMat-Bulk.

As for the crystal system: tetragonal. The total energy comes out at -4.68 eV/atom. The density of states at the Fermi level is 0.8697 states/eV per atom.

It has space group P4/mmm (No. 123), with a = 4.671 Å, b = 4.671 Å, c = 5.257 Å, α = 90.00°, β = 90.00° and γ = 90.00°. The inequivalent atoms are As at (0.000, 0.500, 0.000), Ir at (0.000, 0.000, 0.000), Pd at (0.500, 0.500, 0.500) and Se at (0.000, 0.000, 0.500).

---

The following is a GGA-PBE calculation of a geometry-optimized Sm2As4IrPd3 structure, from Alexandria via LeMat-Bulk.

As for the crystal system: tetragonal. The density of states at the Fermi level is 0.3817 states/eV per atom. The calculation puts the formation enthalpy at 0 K at -751 kJ/mol of formula units.

It has space group P-4m2 (No. 115), with a = 4.345 Å, b = 4.345 Å, c = 10.165 Å, α = 90.00°, β = 90.00° and γ = 90.00°. The inequivalent atoms are Sm at (0.000, 0.500, 0.247), As at (0.000, 0.000, 0.500), As at (0.000, 0.500, 0.869), As at (0.500, 0.500, 0.500), Ir at (0.500, 0.500, 0.000), Pd at (0.000, 0.000, 0.000) and Pd at (0.000, 0.500, 0.630).